(1)
DFT (PBE) results for a geometry-optimized Li2In2Pt structure.

The structure in POSCAR format:
```
Li2In2Pt
1.0
6.3773 0.0000 0.0000
0.0000 6.3773 0.0000
0.0000 0.0000 4.3320
Li In Pt
4 4 2
direct
0.1362 0.3638 0.0000
0.3638 0.8638 0.0000
0.6362 0.1362 0.0000
0.8638 0.6362 0.0000
0.1829 0.6829 0.5000
0.3171 0.1829 0.5000
0.6829 0.8171 0.5000
0.8171 0.3171 0.5000
0.0000 0.0000 0.0000
0.5000 0.5000 0.0000
```

Values from the calculation:
Space group: P4/mbm, No. 127
Energy of formation from the pure elements (eV per atom): -0.247


(2)
DFT (PBE) results for a geometry-optimized SrCaNd structure.

The structure in POSCAR format:
```
SrCaNd
1.0
3.8641 0.0000 0.0000
-1.9321 3.3464 0.0000
0.0000 0.0000 19.6965
Sr Ca Nd
2 2 2
direct
0.0000 0.0000 0.0984
0.0000 0.0000 0.9016
0.3333 0.6667 0.5819
0.6667 0.3333 0.4181
0.3333 0.6667 0.2630
0.6667 0.3333 0.7370
```

Values from the calculation:
Space group: P-3m1, No. 164
Energy of formation from the pure elements (eV per atom): 0.134
Excess energy over the best structure of this formula in the dataset (meV/atom): 59


(3)
DFT (PBE) results for a geometry-optimized Sb2IrSe structure.

The structure in POSCAR format:
```
Sb2IrSe
1.0
1.8307 1.0570 8.4132
-1.8307 1.0570 8.4132
0.0000 -2.1139 8.4132
Sb Ir Se
2 1 1
direct
0.0000 0.0000 0.0000
0.2433 0.2433 0.2433
0.5054 0.5054 0.5054
0.7890 0.7890 0.7890
```

Values from the calculation:
Space group: R3m, No. 160
Formation energy (no corrections) (eV per atom): 0.04


(4)
DFT (PBE) results for a geometry-optimized Dy3Y6Ho2Mg structure.

The structure in POSCAR format:
```
Dy3Y6Ho2Mg
1.0
3.0664 -5.3130 0.0000
3.0664 5.3130 0.0000
-2.0597 0.0000 11.5039
Dy Y Ho Mg
3 6 2 1
direct
0.0000 0.0000 0.0000
0.3342 0.6658 0.0000
0.6658 0.3342 0.0000
0.0857 0.4181 0.2523
0.2491 0.2491 0.7486
0.4181 0.0857 0.2523
0.5819 0.9143 0.7477
0.7509 0.7509 0.2514
0.9143 0.5819 0.7477
0.1663 0.8337 0.5000
0.8337 0.1663 0.5000
0.5000 0.5000 0.5000
```

Values from the calculation:
Space group: C2/m, No. 12
Energy of formation from the pure elements (eV per atom): 0.034


(5)
DFT (PBE) results for a geometry-optimized VRh2Cl structure.

The structure in POSCAR format:
```
VRh2Cl
1.0
-2.9333 2.9333 4.5875
2.9333 -2.9333 4.5875
2.9333 2.9333 -4.5875
V Rh Cl
2 4 2
direct
0.0000 0.0000 0.0000
0.7500 0.2500 0.5000
0.1018 0.6250 0.9768
0.3750 0.3518 0.4768
0.6482 0.1250 0.0232
0.8750 0.8982 0.5232
0.2500 0.7500 0.5000
0.5000 0.5000 0.0000
```

Values from the calculation:
Space group: I-42d, No. 122
Formation energy (no corrections) (eV per atom): 0.37
Excess energy over the best structure of this formula in the dataset (meV/atom): 0


no.,raw total energy (eV/atom)
1,-3.316
2,-2.683
3,-5.108
4,-5.245
5,-6.045